A plane-wave DFT calculation with PBE was carried out for crystalline AcPmHg at its relaxed geometry.

Cell: 5.4379 5.4379 3.9993 Å, 90.00 90.00 120.00°
With the nearest neighbours (Å) after each atom.
Space group P-6m2 (No. 187)
One atom of each set of equivalent atoms:
Ac (0.0000, 0.0000, 0.0000) (multiplicity 1)  6 Hg 3.72, 6 Pm 3.72, 2 Ac 4.00
Pm (0.6667, 0.3333, 0.5000) (multiplicity 1)  3 Hg 3.14
Hg (0.3333, 0.6667, 0.5000) (multiplicity 1)  3 Pm 3.14

Its crystal system is hexagonal. The formation energy comes out at -0.19 eV/atom. As for the electronic total energy: -9.716 eV per cell. The energy relative to the lowest polymorph listed for this composition comes out at 0.147 eV/atom.